## LaTm12In3 (PBE)

Data for LaTm12In3 after structural relaxation.

Calculated values
Fermi-level density of states, states/eV/atom: 1.183
Energy, eV per cell: -69.5
Formation energy, meV per atom: -169
Volume, Å³/cell: 455.3
Space-group type: No. 123

Cell lengths 4.8085, 4.8085, 19.6893 Å; angles 90.00, 90.00, 90.00 degrees
Last column: nearest neighbours and their distance in Å.
Element x y z (fractional)
La: 0.0000 0.0000 0.0000  12 Tm 3.40-3.58
Tm: 0.0000 0.5000 0.1344  8 Tm 3.40-3.58, 2 In 3.42, 2 La 3.58
Tm: 0.0000 0.5000 0.3785  8 Tm 3.38-3.40, 4 In 3.38-3.39
Tm: 0.0000 0.5000 0.6215  8 Tm 3.38-3.40, 4 In 3.38-3.39
Tm: 0.0000 0.5000 0.8656  8 Tm 3.40-3.58, 2 In 3.42, 2 La 3.58
Tm: 0.5000 0.0000 0.1344  8 Tm 3.40-3.58, 2 In 3.42, 2 La 3.58
Tm: 0.5000 0.0000 0.3785  8 Tm 3.38-3.40, 4 In 3.38-3.39
Tm: 0.5000 0.0000 0.6215  8 Tm 3.38-3.40, 4 In 3.38-3.39
Tm: 0.5000 0.0000 0.8656  8 Tm 3.40-3.58, 2 In 3.42, 2 La 3.58
Tm: 0.5000 0.5000 0.0000  4 La 3.40, 8 Tm 3.58
Tm: 0.5000 0.5000 0.2580  8 Tm 3.38-3.42, 4 In 3.40
Tm: 0.5000 0.5000 0.5000  8 Tm 3.39, 4 In 3.40
Tm: 0.5000 0.5000 0.7420  8 Tm 3.38-3.42, 4 In 3.40
In: 0.0000 0.0000 0.2579  12 Tm 3.38-3.42
In: 0.0000 0.0000 0.5000  12 Tm 3.39-3.40
In: 0.0000 0.0000 0.7421  12 Tm 3.38-3.42